Entry from Alexandria: a geometry-optimized K4Ac3SmO8 structure (PBE).

Calculated values
The crystal system is trigonal. The uncorrected energy is -102.32 eV/cell. The value obtained for the mass density is 5.84 g/cm³. As for the total magnetization: 0.00 μB/f.u. As for the raw formation energy: -2.576 eV per atom.

Cell and atoms, written as POSCAR:
```
K4Ac3SmO8
1.0
3.7982 2.1929 6.3447
-3.7982 2.1929 6.3447
0.0000 -4.3858 6.3447
K Ac Sm O
4 3 1 8
Cartesian
0.0000 0.0000 0.0000
-1.8991 -1.0964 6.3447
-1.8991 1.0964 12.6894
0.0000 2.1929 6.3447
-3.7982 0.0000 9.5171
-1.8991 1.0964 3.1724
1.8991 1.0964 3.1724
0.0000 0.0000 9.5171
0.0000 0.0000 4.4193
-1.8239 -1.0530 10.7361
0.0000 -2.1060 8.2980
-1.8239 1.0530 8.2980
1.8239 -1.0530 10.7361
0.0000 2.1060 10.7361
1.8239 1.0530 8.2980
0.0000 0.0000 14.6149
```